1.
Entry from Alexandria via LeMat-Bulk: an optimized crystal structure of NiRh3N (PBE-GGA).

Cell lengths 4.0167, 4.0167, 4.0167 Å; angles 90.00, 90.00, 90.00 degrees
Each line ends with the local moment (μB).
Positions (direct):
Ni 0.5000 0.5000 0.5000  0.99
Rh 0.0000 0.5000 0.0000  0.25
Rh 0.5000 0.0000 0.0000  0.38
Rh 0.0000 0.0000 0.5000  0.26
N 0.0000 0.0000 0.0000  -0.03

Energy relative to the lowest polymorph listed for this composition in meV/atom: 0
ΔE_f (raw) in eV/f.u.: 1.57
D(E_F) in states/eV/f.u.: 7.40



2.
Entry from Alexandria via LeMat-Bulk: an optimized crystal structure of TlSnSBr (PBE-GGA).

Cell lengths 4.2291, 4.2288, 8.3298 Å; angles 90.00, 104.71, 120.00 degrees
Positions (direct):
S 0.3266 0.5612 0.9031
Tl 0.4839 0.1400 0.6391
Br 0.9567 0.3763 0.3482
Sn 0.1107 0.9533 0.0792

ΔE_f (raw) in eV/f.u.: -2.25